Model 1:
## Li2CaCl (PBE-GGA)

Data for a geometry-optimized Li2CaCl structure.

The structure in POSCAR format:
```
Li2CaCl
1.0
-4.198 -0.359 -4.996
-0.015 -4.008 0.301
-3.081 0.205 2.574
Ca Cl Li
1 1 2
Cartesian
-2.107 -2.184 -2.347
-3.639 -0.077 -1.211
0.000 0.000 0.000
-1.548 -1.902 1.438
```

Values from the calculation:
- volume (Å³/cell) = 106
- density of states at the Fermi level (states/eV per cell) = 2.1



Model 2:
## Li2CaCl (PBE-GGA)

Data for a geometry-optimized Li2CaCl structure.

The structure in POSCAR format:
```
Li2CaCl
1.0
-7.980 4.276 -0.751
-8.877 0.851 -1.734
-8.724 1.760 1.822
Li Ca Cl
2 1 1
Cartesian
-6.523 1.756 -0.169
-0.431 0.116 -0.011
-12.478 3.359 -0.323
-18.940 5.099 -0.491
```

Values from the calculation:
- volume (Å³/cell) = 103
- density of states at the Fermi level (states/eV per cell) = 1.4



Preferred: model 2; penalty for the next structure: 138 meV per atom.